<P>
Density functional theory data (PBE) for a relaxed Pa2HgSe crystal.

Cell: 3.3586 3.3586 10.9735 Å, 81.20 81.20 60.00°
Positions (direct):
Pa 0.9003 0.9003 0.2990
Pa 0.0997 0.0997 0.7010
Hg 0.0000 0.0000 0.0000
Se 0.5000 0.5000 0.5000

Properties
The value obtained for the spin magnetization is 0.64 μB per cell.

---

<Q>
Density functional theory data (PBE) for a relaxed Pa2HgSe crystal.

Cell: 3.4159 3.4159 7.9992 Å, 90.00 90.00 90.00°
Positions (direct):
Pa 0.0000 0.0000 0.7739
Pa 0.0000 0.0000 0.2261
Se 0.5000 0.5000 0.0000
Hg 0.5000 0.5000 0.5000

Properties
The value obtained for the spin magnetization is 0.00 μB per cell.

---

<Q> takes first place; second place is 286 meV per atom up.

---

<P>
Density functional theory data (PBE) for a relaxed Pa2HgSe4 crystal.

Cell: 8.6834 8.6843 8.4968 Å, 118.11 118.09 94.47°
Positions (direct):
Se 0.8408 0.1418 0.7168
Se 0.3739 0.1750 0.7832
Se 0.4251 0.1239 0.2831
Se 0.4092 0.6081 0.7831
Se 0.8250 0.6261 0.2168
Se 0.3919 0.5908 0.2170
Se 0.8582 0.1591 0.2831
Se 0.8760 0.5750 0.7170
Pa 0.1250 0.3750 0.7501
Pa 0.6249 0.3749 0.7499
Pa 0.6251 0.3751 0.2501
Pa 0.6249 0.8750 0.2500
Hg 0.2498 0.7501 0.5001
Hg 0.0003 0.0000 0.9999

Properties
The value obtained for the spin magnetization is 4.01 μB per cell.

---

<Q>
Density functional theory data (PBE) for a relaxed Pa2HgSe4 crystal.

Cell: 7.2543 8.0518 8.7379 Å, 117.44 114.53 90.00°
Positions (direct):
Hg 0.5090 0.7735 0.5469
Hg 0.2122 0.9765 0.9531
Pa 0.5993 0.8750 0.2500
Pa 0.5993 0.3750 0.2500
Pa 0.7978 0.4252 0.8505
Pa 0.1974 0.3248 0.6495
Se 0.5121 0.6707 0.8419
Se 0.9202 0.0793 0.6581
Se 0.9202 0.5788 0.6581
Se 0.4510 0.2200 0.4400
Se 0.5121 0.1712 0.8419
Se 0.2610 0.5300 0.0600
Se 0.8798 0.6255 0.2509
Se 0.8788 0.1245 0.2491

Properties
The value obtained for the spin magnetization is 4.03 μB per cell.

---

<Q> takes first place; second place is 95 meV per atom up.

---

<P>
Density functional theory data (PBE) for a relaxed SmPaHg2 crystal.

Cell: 4.5100 4.7673 4.7673 Å, 90.00 90.00 90.00°
Positions (direct):
Pa 0.5000 0.5000 0.5000
Sm 0.5000 0.0000 0.0000
Hg 0.0000 0.5000 0.0000
Hg 0.0000 0.0000 0.5000

Properties
The value obtained for the spin magnetization is 1.40 μB per cell.

---

<Q>
Density functional theory data (PBE) for a relaxed SmPaHg2 crystal.

Cell: 3.3372 3.3372 10.9255 Å, 81.22 81.22 60.00°
Positions (direct):
Sm 0.5000 0.5000 0.5000
Pa 0.0000 0.0000 0.0000
Hg 0.2499 0.2499 0.2504
Hg 0.7501 0.7501 0.7496

Properties
The value obtained for the spin magnetization is 0.00 μB per cell.

---

<P> takes first place; second place is 21 meV per atom up.

---

<P>
Density functional theory data (PBE) for a relaxed SmPaHg2 crystal.

Cell: 5.3292 5.3292 5.3292 Å, 60.00 60.00 60.00°
Positions (direct):
Sm 0.5000 0.5000 0.5000
Hg 0.7500 0.7500 0.7500
Hg 0.2500 0.2500 0.2500
Pa 0.0000 0.0000 0.0000

Properties
The value obtained for the spin magnetization is 2.57 μB per cell.

---

<Q>
Density functional theory data (PBE) for a relaxed SmPaHg2 crystal.

Cell: 3.3481 3.3481 9.0519 Å, 90.00 90.00 90.00°
Positions (direct):
Hg 0.0000 0.0000 0.7497
Hg 0.0000 0.0000 0.2503
Sm 0.5000 0.5000 0.0000
Pa 0.5000 0.5000 0.5000

Properties
The value obtained for the spin magnetization is 1.10 μB per cell.

---

<Q> takes first place; second place is 102 meV per atom up.

---

<P>
Density functional theory data (PBE) for a relaxed PaSnHg2 crystal.

Cell: 5.1990 5.1990 5.1990 Å, 60.00 60.00 60.00°
Positions (direct):
Hg 0.2500 0.2500 0.2500
Hg 0.7500 0.7500 0.7500
Pa 0.0000 0.0000 0.0000
Sn 0.5000 0.5000 0.5000

Properties
The value obtained for the spin magnetization is 0.85 μB per cell.

---

<Q>
Density functional theory data (PBE) for a relaxed PaSnHg2 crystal.

Cell: 3.8413 3.8413 6.8812 Å, 90.00 90.00 90.00°
Positions (direct):
Pa 0.5000 0.5000 0.5000
Hg 0.0000 0.0000 0.2403
Hg 0.0000 0.0000 0.7597
Sn 0.5000 0.5000 0.0000

Properties
The value obtained for the spin magnetization is 1.83 μB per cell.

---

<P> takes first place; second place is 16 meV per atom up.

---

<P>
Density functional theory data (PBE) for a relaxed Tb2PaHg crystal.

Cell: 3.3071 3.3071 11.8077 Å, 81.95 81.95 60.00°
Positions (direct):
Pa 0.0000 0.0000 0.0000
Tb 0.9074 0.9074 0.2777
Tb 0.0926 0.0926 0.7223
Hg 0.5000 0.5000 0.5000

Properties
The value obtained for the spin magnetization is 0.00 μB per cell.

---

<Q>
Density functional theory data (PBE) for a relaxed Tb2PaHg crystal.

Cell: 3.4721 3.4721 8.9301 Å, 90.00 90.00 90.00°
Positions (direct):
Pa 0.5000 0.5000 0.5000
Tb 0.0000 0.0000 0.2365
Tb 0.0000 0.0000 0.7635
Hg 0.5000 0.5000 0.0000

Properties
The value obtained for the spin magnetization is 0.10 μB per cell.

---

<Q> takes first place; second place is 321 meV per atom up.

---

<P>
Density functional theory data (PBE) for a relaxed ThPaHg4 crystal.

Cell: 5.9887 5.9887 5.9887 Å, 60.00 60.00 60.00°
Positions (direct):
Pa 0.2500 0.2500 0.2500
Hg 0.6247 0.6247 0.1258
Hg 0.1258 0.6247 0.6247
Hg 0.6247 0.1258 0.6247
Hg 0.6247 0.6247 0.6247
Th 0.0000 0.0000 0.0000

Properties
The value obtained for the spin magnetization is 2.68 μB per cell.

---

<Q>
Density functional theory data (PBE) for a relaxed ThPaHg4 crystal.

Cell: 5.0462 6.0606 6.0606 Å, 92.80 65.47 65.47°
Positions (direct):
Hg 0.7581 0.5752 0.9083
Hg 0.2418 0.0917 0.4248
Hg 0.2418 0.4248 0.0917
Hg 0.7581 0.9083 0.5752
Pa 0.5000 0.5000 0.5000
Th 0.0000 0.0000 0.0000

Properties
The value obtained for the spin magnetization is 0.61 μB per cell.

---

<Q> takes first place; second place is 184 meV per atom up.

---

<P>
Density functional theory data (PBE) for a relaxed PaTi2Hg crystal.

Cell: 4.8015 4.8015 4.8015 Å, 60.00 60.00 60.00°
Positions (direct):
Hg 0.0000 0.0000 0.0000
Ti 0.2499 0.2499 0.2503
Ti 0.7501 0.7501 0.7497
Pa 0.5000 0.5000 0.5000

Properties
The value obtained for the spin magnetization is 1.10 μB per cell.

---

<Q>
Density functional theory data (PBE) for a relaxed PaTi2Hg crystal.

Cell: 3.4353 3.4353 6.6356 Å, 90.00 90.00 90.00°
Positions (direct):
Ti 0.0000 0.0000 0.2648
Ti 0.0000 0.0000 0.7352
Pa 0.5000 0.5000 0.5000
Hg 0.5000 0.5000 0.0000

Properties
The value obtained for the spin magnetization is 0.00 μB per cell.

---

<Q> takes first place; second place is 137 meV per atom up.